No. 1
A relaxed Si2MoAsBr crystal. Source: Alexandria, functional GGA-PBE.

Unit cell a=4.834 b=4.834 c=4.955 alpha=90.00 beta=90.00 gamma=90.00
Sites, in units of the cell vectors:
Si1 0.000 0.500 0.000
Si2 0.500 0.000 0.000
Mo1 0.000 0.000 0.500
As1 0.500 0.500 0.500
Br1 0.500 0.500 0.000

## Properties
Formation energy from raw total energies, eV/atom: 1.76
Total DFT energy (no corrections), eV/atom: -3.837
V, Å³/atom: 23.16
SG: P4/mmm (123)

No. 2
A relaxed SnMoAs2Br crystal. Source: Alexandria, functional GGA-PBE.

Unit cell a=4.845 b=4.845 c=5.495 alpha=90.00 beta=90.00 gamma=90.00
Sites, in units of the cell vectors:
Sn1 0.000 0.000 0.000
Mo1 0.500 0.500 0.500
As1 0.000 0.500 0.500
As2 0.500 0.000 0.500
Br1 0.500 0.500 0.000

## Properties
Formation energy from raw total energies, eV/atom: 0.32
Polymorph energy (0 for the lowest one), meV/atom: 0
Total DFT energy (no corrections), eV/atom: -4.841
V, Å³/atom: 25.80
SG: P4/mmm (123)

No. 3
A relaxed SrMoAs2Br crystal. Source: Alexandria, functional GGA-PBE.

Unit cell a=5.767 b=5.767 c=5.614 alpha=90.00 beta=90.00 gamma=90.00
Sites, in units of the cell vectors:
Sr1 0.000 0.000 0.000
Mo1 0.500 0.500 0.500
As1 0.000 0.500 0.000
As2 0.500 0.000 0.000
Br1 0.000 0.000 0.500

## Properties
Formation energy from raw total energies, eV/atom: 1.10
Polymorph energy (0 for the lowest one), meV/atom: 1510
Total DFT energy (no corrections), eV/atom: -3.592
V, Å³/atom: 37.34
SG: P4/mmm (123)

No. 4
A relaxed SrMoAs2Br crystal. Source: Alexandria, functional GGA-PBE.

Unit cell a=4.868 b=4.868 c=5.572 alpha=90.00 beta=90.00 gamma=90.00
Sites, in units of the cell vectors:
Sr1 0.000 0.000 0.000
Mo1 0.500 0.500 0.500
As1 0.000 0.500 0.500
As2 0.500 0.000 0.500
Br1 0.500 0.500 0.000

## Properties
Formation energy from raw total energies, eV/atom: -0.41
Polymorph energy (0 for the lowest one), meV/atom: 0
Total DFT energy (no corrections), eV/atom: -5.102
V, Å³/atom: 26.41
SG: P4/mmm (123)

No. 5
A relaxed TcMoAsBr2 crystal. Source: Alexandria, functional GGA-PBE.

Unit cell a=5.223 b=5.223 c=4.760 alpha=90.00 beta=90.00 gamma=90.00
Sites, in units of the cell vectors:
Tc1 0.000 0.000 0.000
Mo1 0.500 0.500 0.500
As1 0.000 0.000 0.500
Br1 0.000 0.500 0.000
Br2 0.500 0.000 0.000

## Properties
Formation energy from raw total energies, eV/atom: 1.04
Polymorph energy (0 for the lowest one), meV/atom: 0
Total DFT energy (no corrections), eV/atom: -4.795
V, Å³/atom: 25.96
SG: P4/mmm (123)

No. 6
A relaxed TcMoAsBr2 crystal. Source: Alexandria, functional GGA-PBE.

Unit cell a=5.206 b=5.206 c=4.986 alpha=90.00 beta=90.00 gamma=90.00
Sites, in units of the cell vectors:
Tc1 0.000 0.000 0.000
Mo1 0.500 0.500 0.500
As1 0.500 0.500 0.000
Br1 0.000 0.500 0.500
Br2 0.500 0.000 0.500

## Properties
Formation energy from raw total energies, eV/atom: 1.06
Polymorph energy (0 for the lowest one), meV/atom: 15
Total DFT energy (no corrections), eV/atom: -4.780
V, Å³/atom: 27.03
SG: P4/mmm (123)